Record 1
# Tm2SnBi | the Alexandria database | GGA-PBE | relaxed
# ΔH_f (0 K) ... -0.5252 eV per atom
# Calculated density ... 9.10 g/cm3
# Polymorph energy (0 for the lowest one) ... 178.5 meV/atom
# DFT total energy ... -4.73 eV per atom
data_Tm2SnBi
_symmetry_space_group_name_H-M 'R 3 m'
_symmetry_Int_Tables_number 160
_symmetry_space_group_name_Hall 'R 3 -2"'
_cell_length_a 4.2127
_cell_length_b 4.2127
_cell_length_c 23.7099
_cell_angle_alpha 90.00
_cell_angle_beta 90.00
_cell_angle_gamma 120.00
loop_
_atom_site_label
_atom_site_fract_x
_atom_site_fract_y
_atom_site_fract_z
_atom_site_occupancy
Tm1 0.0000 0.0000 0.0000 1
Tm2 0.0000 0.0000 0.1703 1
Sn1 0.0000 0.0000 0.4173 1
Bi1 0.0000 0.0000 0.5868 1

=====

Record 2
# Ce5NbN6 | the Alexandria database | GGA-PBE | relaxed
# Calculated density ... 8.15 g/cm3
# DFT total energy ... -8.92 eV per atom
data_Ce5NbN6
_symmetry_space_group_name_H-M 'C 1 2/m 1'
_symmetry_Int_Tables_number 12
_cell_length_a 6.036
_cell_length_b 10.436
_cell_length_c 6.024
_cell_angle_alpha 90.00
_cell_angle_beta 109.47
_cell_angle_gamma 90.00
loop_
_symmetry_equiv_pos_as_xyz
'x,y,z'
'-x,-y,-z'
'-x,y,-z'
'x,-y,z'
'x+1/2,y+1/2,z'
'-x+1/2,-y+1/2,-z'
'-x+1/2,y+1/2,-z'
'x+1/2,-y+1/2,z'
loop_
_atom_site_label
_atom_site_fract_x
_atom_site_fract_y
_atom_site_fract_z
_atom_site_occupancy
Ce1 0.000 0.000 0.000 1
Ce2 0.000 0.166 0.500 1
Ce3 0.000 0.333 0.000 1
Nb1 0.000 0.500 0.500 1
N1 0.232 0.500 0.261 1
N2 0.233 0.344 0.733 1

=====

Record 3
# SiTcSb2 | the Alexandria database | GGA-PBE | relaxed
# Calculated density ... 7.49 g/cm3
# DFT total energy ... -5.63 eV per atom
data_SiTcSb2
_symmetry_space_group_name_H-M 'R -3 m'
_symmetry_Int_Tables_number 166
_symmetry_space_group_name_Hall '-R 3 2"'
_cell_length_a 3.3561
_cell_length_b 3.3561
_cell_length_c 25.1922
_cell_angle_alpha 90.00
_cell_angle_beta 90.00
_cell_angle_gamma 120.00
loop_
_atom_site_label
_atom_site_fract_x
_atom_site_fract_y
_atom_site_fract_z
_atom_site_occupancy
Si1 0.0000 0.0000 0.0000 1
Tc1 0.0000 0.0000 0.5000 1
Sb1 0.0000 0.0000 0.2427 1

=====

Record 4
# TlCuBPb2 | the Alexandria database | GGA-PBE | relaxed
# ΔH_f (0 K) ... 1.1273 eV per atom
# Calculated density ... 8.29 g/cm3
# DFT total energy ... -2.98 eV per atom
data_TlCuBPb2
_symmetry_space_group_name_H-M 'P 4/m m m'
_symmetry_Int_Tables_number 123
_symmetry_space_group_name_Hall '-P 4 2'
_cell_length_a 5.218
_cell_length_b 5.218
_cell_length_c 5.102
_cell_angle_alpha 90.00
_cell_angle_beta 90.00
_cell_angle_gamma 90.00
loop_
_atom_site_label
_atom_site_fract_x
_atom_site_fract_y
_atom_site_fract_z
_atom_site_occupancy
Tl1 0.000 0.000 0.000 1
Cu1 0.000 0.000 0.500 1
B1 0.500 0.500 0.000 1
Pb1 0.000 0.500 0.500 1

=====

Record 5
# TbEr4Tm8 | the Alexandria database | GGA-PBE | relaxed
# ΔH_f (0 K) ... 0.2313 eV per atom
# Calculated density ... 9.11 g/cm3
# DFT total energy ... -4.28 eV per atom
data_TbEr4Tm8
_symmetry_space_group_name_H-M 'R -3 m'
_symmetry_Int_Tables_number 166
_symmetry_space_group_name_Hall '-R 3 2"'
_cell_length_a 7.1773
_cell_length_b 7.1773
_cell_length_c 26.7011
_cell_angle_alpha 90.00
_cell_angle_beta 90.00
_cell_angle_gamma 120.00
loop_
_atom_site_label
_atom_site_fract_x
_atom_site_fract_y
_atom_site_fract_z
_atom_site_occupancy
Tb1 0.0000 0.0000 0.0000 1
Er1 0.0000 0.0000 0.5000 1
Er2 0.0000 0.5000 0.5000 1
Tm1 0.0000 0.0000 0.2831 1
Tm2 0.0371 0.5185 0.2681 1

=====

Record 6
# LiPm2Ga2Rh5 | the Alexandria database | GGA-PBE | relaxed
# ΔH_f (0 K) ... -0.5939 eV per atom
# Calculated density ... 9.07 g/cm3
# DFT total energy ... -6.02 eV per atom
data_LiPm2Ga2Rh5
_symmetry_space_group_name_H-M 'P 4/m b m'
_symmetry_Int_Tables_number 127
_symmetry_space_group_name_Hall '-P 4 2ab'
_cell_length_a 9.927
_cell_length_b 9.927
_cell_length_c 3.532
_cell_angle_alpha 90.00
_cell_angle_beta 90.00
_cell_angle_gamma 90.00
loop_
_atom_site_label
_atom_site_fract_x
_atom_site_fract_y
_atom_site_fract_z
_atom_site_occupancy
Li1 0.000 0.000 0.000 1
Pm1 0.174 0.326 0.000 1
Ga1 0.125 0.625 0.000 1
Rh1 0.000 0.500 0.500 1
Rh2 0.065 0.796 0.500 1

=====

Record 7
# Ni2SbAu2 | the Alexandria database | GGA-PBE | relaxed
# Calculated density ... 11.91 g/cm3
# Polymorph energy (0 for the lowest one) ... 222.7 meV/atom
# DFT total energy ... -4.20 eV per atom
data_Ni2SbAu2
_symmetry_space_group_name_H-M 'I 4/m m m'
_symmetry_Int_Tables_number 139
_symmetry_space_group_name_Hall '-I 4 2'
_cell_length_a 3.635
_cell_length_b 3.635
_cell_length_c 13.358
_cell_angle_alpha 90.00
_cell_angle_beta 90.00
_cell_angle_gamma 90.00
loop_
_atom_site_label
_atom_site_fract_x
_atom_site_fract_y
_atom_site_fract_z
_atom_site_occupancy
Ni1 0.000 0.500 0.250 1
Sb1 0.000 0.000 0.000 1
Au1 0.000 0.000 0.389 1

=====

Record 8
# Ba3Pd7Pb2 | the Alexandria database | GGA-PBE | relaxed
# ΔH_f (0 K) ... -0.4649 eV per atom
# Calculated density ... 9.28 g/cm3
# DFT total energy ... -4.59 eV per atom
data_Ba3Pd7Pb2
_symmetry_space_group_name_H-M 'R -3 m'
_symmetry_Int_Tables_number 166
_symmetry_space_group_name_Hall '-R 3 2"'
_cell_length_a 5.9857
_cell_length_b 5.9857
_cell_length_c 27.1753
_cell_angle_alpha 90.00
_cell_angle_beta 90.00
_cell_angle_gamma 120.00
loop_
_atom_site_label
_atom_site_fract_x
_atom_site_fract_y
_atom_site_fract_z
_atom_site_occupancy
Ba1 0.0000 0.0000 0.0000 1
Ba2 0.0000 0.0000 0.1409 1
Pd1 0.0000 0.0000 0.5000 1
Pd2 0.0058 0.5029 0.0829 1
Pb1 0.0000 0.0000 0.3311 1

=====

Record 9
# Ni2HgIr | the Alexandria database | GGA-PBE | relaxed
# ΔH_f (0 K) ... 0.2728 eV per atom
# Calculated density ... 14.85 g/cm3
# DFT total energy ... -4.91 eV per atom
data_Ni2HgIr
_symmetry_space_group_name_H-M 'C 1 m 1'
_symmetry_Int_Tables_number 8
_cell_length_a 9.009
_cell_length_b 2.793
_cell_length_c 4.646
_cell_angle_alpha 90.00
_cell_angle_beta 102.48
_cell_angle_gamma 90.00
loop_
_symmetry_equiv_pos_as_xyz
'x,y,z'
'x,-y,z'
'x+1/2,y+1/2,z'
'x+1/2,-y+1/2,z'
loop_
_atom_site_label
_atom_site_fract_x
_atom_site_fract_y
_atom_site_fract_z
_atom_site_occupancy
Ni1 0.000 0.000 0.000 1
Ni2 0.238 0.500 0.266 1
Hg1 0.493 0.000 0.493 1
Ir1 0.258 0.000 0.816 1

=====

Record 10
# Li2FeNi | the Alexandria database | GGA-PBE | relaxed
# ΔH_f (0 K) ... 0.1080 eV per atom
# Calculated density ... 4.24 g/cm3
# DFT total energy ... -4.41 eV per atom
data_Li2FeNi
_symmetry_space_group_name_H-M 'P m m 2'
_symmetry_Int_Tables_number 25
_cell_length_a 2.467
_cell_length_b 3.803
_cell_length_c 5.357
_cell_angle_alpha 90.00
_cell_angle_beta 90.00
_cell_angle_gamma 90.00
loop_
_symmetry_equiv_pos_as_xyz
'x,y,z'
'-x,-y,z'
'-x,y,z'
'x,-y,z'
loop_
_atom_site_label
_atom_site_fract_x
_atom_site_fract_y
_atom_site_fract_z
_atom_site_occupancy
Li1 0.000 0.000 0.000 1
Li2 0.500 0.500 0.256 1
Fe1 0.500 0.500 0.715 1
Ni1 0.000 0.000 0.533 1

=====

Record 11
# SiIrS2N | the Alexandria database | GGA-PBE | relaxed
# Calculated density ... 7.01 g/cm3
# Polymorph energy (0 for the lowest one) ... 67.8 meV/atom
# DFT total energy ... -5.50 eV per atom
data_SiIrS2N
_symmetry_space_group_name_H-M 'P 4/m m m'
_symmetry_Int_Tables_number 123
_symmetry_space_group_name_Hall '-P 4 2'
_cell_length_a 4.702
_cell_length_b 4.702
_cell_length_c 3.198
_cell_angle_alpha 90.00
_cell_angle_beta 90.00
_cell_angle_gamma 90.00
loop_
_atom_site_label
_atom_site_fract_x
_atom_site_fract_y
_atom_site_fract_z
_atom_site_occupancy
Si1 0.000 0.000 0.000 1
Ir1 0.500 0.500 0.500 1
S1 0.000 0.500 0.000 1
N1 0.000 0.000 0.500 1

=====

Record 12
# MnHgRh3 | the Alexandria database | GGA-PBE | relaxed
# ΔH_f (0 K) ... 0.8224 eV per atom
# Calculated density ... 10.48 g/cm3
# Polymorph energy (0 for the lowest one) ... 0.0 meV/atom
# DFT total energy ... -5.48 eV per atom
data_MnHgRh3
_symmetry_space_group_name_H-M 'P m -3 m'
_symmetry_Int_Tables_number 221
_symmetry_space_group_name_Hall '-P 4 2 3'
_cell_length_a 4.471
_cell_length_b 4.471
_cell_length_c 4.471
_cell_angle_alpha 90.00
_cell_angle_beta 90.00
_cell_angle_gamma 90.00
loop_
_atom_site_label
_atom_site_fract_x
_atom_site_fract_y
_atom_site_fract_z
_atom_site_occupancy
Mn1 0.000 0.000 0.000 1
Hg1 0.500 0.500 0.500 1
Rh1 0.000 0.000 0.500 1

=====

Record 13
# ZrHPdRu2 | the Alexandria database | GGA-PBE | relaxed
# Calculated density ... 10.20 g/cm3
# Polymorph energy (0 for the lowest one) ... 0.0 meV/atom
# DFT total energy ... -7.44 eV per atom
data_ZrHPdRu2
_symmetry_space_group_name_H-M 'P 4/m m m'
_symmetry_Int_Tables_number 123
_symmetry_space_group_name_Hall '-P 4 2'
_cell_length_a 4.037
_cell_length_b 4.037
_cell_length_c 4.002
_cell_angle_alpha 90.00
_cell_angle_beta 90.00
_cell_angle_gamma 90.00
loop_
_atom_site_label
_atom_site_fract_x
_atom_site_fract_y
_atom_site_fract_z
_atom_site_occupancy
Zr1 0.000 0.000 0.000 1
H1 0.500 0.500 0.500 1
Pd1 0.500 0.500 0.000 1
Ru1 0.000 0.500 0.500 1